A plane-wave DFT calculation with PBE was carried out for an optimized crystal structure of K2AgPdN.

Results
* magnetic moment: 0.00 μB per atom
* E_form (uncorrected): 0.68 eV/f.u.
* V: 134.8 Å³/cell

Cell: 5.9848 5.9848 3.7634 Å, 90.00 90.00 90.00°
Element x y z (fractional)
K1 0.0000 0.5000 0.0000
K2 0.5000 0.0000 0.0000
Ag1 0.0000 0.0000 0.5000
Pd1 0.5000 0.5000 0.5000
N1 0.5000 0.5000 0.0000